(1)
The following is a DFT calculation (PBE) of crystalline Sm2ThRu2 at its relaxed geometry.

Output
- Energy relative to the elements: -369 meV/atom
- Space-group type: Immm, No. 71

a = 6.016 Å, b = 6.016 Å, c = 6.016 Å
α = 138.38°, β = 119.35°, γ = 76.25°
Fractional coordinates of all 5 atoms:
Sm  0.191  0.191  0.000
Sm  0.809  0.809  0.000
Th  0.500  0.000  0.500
Ru  0.233  0.500  0.733
Ru  0.767  0.500  0.267

=====

(2)
The following is a DFT calculation (PBE) of crystalline RbSn2Bi4 at its relaxed geometry.

Output
- Energy relative to the elements: -61 meV/atom
- Space-group type: Cmmm, No. 65

a = 8.084 Å, b = 8.084 Å, c = 5.803 Å
α = 90.00°, β = 90.00°, γ = 135.94°
Fractional coordinates of all 7 atoms:
Rb  0.000  0.000  0.000
Sn  0.395  0.605  0.500
Sn  0.605  0.395  0.500
Bi  0.182  0.818  0.500
Bi  0.292  0.708  0.000
Bi  0.708  0.292  0.000
Bi  0.818  0.182  0.500